(1)
{"formula": "SrTi2Al2", "functional": "GGA-PBE", "state": "optimized geometry", "lattice_angstrom": [[8.136, 0.000, 0.000], [0.000, 8.136, 0.000], [0.000, 0.000, 3.106]], "species": ["Sr", "Sr", "Ti", "Ti", "Ti", "Ti", "Al", "Al", "Al", "Al"], "fractional_positions": [[0.000, 0.000, 0.000], [0.500, 0.500, 0.000], [0.169, 0.331, 0.500], [0.331, 0.831, 0.500], [0.669, 0.169, 0.500], [0.831, 0.669, 0.500], [0.121, 0.621, 0.000], [0.379, 0.121, 0.000], [0.621, 0.879, 0.000], [0.879, 0.379, 0.000]], "delta_e_f_mev_per_atom": 51, "de_polymorph_ev_per_fu": 0.65, "dft_energy_ev_per_atom": -4.94}

=====

(2)
{"formula": "Sr3TiAl", "functional": "GGA-PBE", "state": "optimized geometry", "lattice_angstrom": [[6.167, 0.000, 0.000], [0.000, 6.167, 0.000], [0.000, 0.000, 6.167]], "species": ["Sr", "Sr", "Sr", "Ti", "Al"], "fractional_positions": [[0.000, 0.000, 0.500], [0.000, 0.500, 0.000], [0.500, 0.000, 0.000], [0.500, 0.500, 0.500], [0.000, 0.000, 0.000]], "delta_e_f_mev_per_atom": 703, "de_polymorph_ev_per_fu": 0.00, "dft_energy_ev_per_atom": -2.63}

=====

(3)
{"formula": "Sr2TiAl2", "functional": "GGA-PBE", "state": "optimized geometry", "lattice_angstrom": [[7.486, 0.000, 0.000], [0.000, 7.486, 0.000], [0.000, 0.000, 5.193]], "species": ["Sr", "Sr", "Sr", "Sr", "Ti", "Ti", "Al", "Al", "Al", "Al"], "fractional_positions": [[0.174, 0.326, 0.000], [0.326, 0.826, 0.000], [0.674, 0.174, 0.000], [0.826, 0.674, 0.000], [0.000, 0.000, 0.500], [0.500, 0.500, 0.500], [0.132, 0.632, 0.500], [0.368, 0.132, 0.500], [0.632, 0.868, 0.500], [0.868, 0.368, 0.500]], "delta_e_f_mev_per_atom": 167, "dft_energy_ev_per_atom": -3.58}

=====

(4)
{"formula": "SrTi2Al2", "functional": "GGA-PBE", "state": "optimized geometry", "lattice_angstrom": [[8.392, 0.000, 0.000], [0.000, 8.392, 0.000], [0.000, 0.000, 2.925]], "species": ["Sr", "Sr", "Ti", "Ti", "Ti", "Ti", "Al", "Al", "Al", "Al"], "fractional_positions": [[0.000, 0.000, 0.000], [0.500, 0.500, 0.000], [0.112, 0.388, 0.000], [0.388, 0.888, 0.000], [0.612, 0.112, 0.000], [0.888, 0.612, 0.000], [0.176, 0.676, 0.500], [0.324, 0.176, 0.500], [0.676, 0.824, 0.500], [0.824, 0.324, 0.500]], "delta_e_f_mev_per_atom": -79, "de_polymorph_ev_per_fu": 0.00, "dft_energy_ev_per_atom": -5.07}

=====

(5)
{"formula": "Sr8AlTl2", "functional": "GGA-PBE", "state": "optimized geometry", "lattice_angstrom": [[-2.845, 4.648, 8.390], [2.845, -4.648, 8.390], [2.845, 4.648, -8.390]], "species": ["Sr", "Sr", "Sr", "Sr", "Sr", "Sr", "Sr", "Sr", "Al", "Tl", "Tl"], "fractional_positions": [[0.119, 0.340, 0.779], [0.139, 0.139, 0.000], [0.311, 0.000, 0.311], [0.438, 0.660, 0.779], [0.562, 0.340, 0.221], [0.689, 0.000, 0.689], [0.861, 0.861, 0.000], [0.881, 0.660, 0.221], [0.000, 0.500, 0.500], [0.313, 0.813, 0.500], [0.687, 0.187, 0.500]], "delta_e_f_mev_per_atom": -130, "de_polymorph_ev_per_fu": 0.82, "dft_energy_ev_per_atom": -2.12}

=====

(6)
{"formula": "Sr2AlTl", "functional": "GGA-PBE", "state": "optimized geometry", "lattice_angstrom": [[6.332, -1.896, 0.000], [6.332, 1.896, 0.000], [-2.056, 0.000, 5.432]], "species": ["Sr", "Sr", "Al", "Tl"], "fractional_positions": [[0.000, 0.000, 0.000], [0.202, 0.202, 0.662], [0.448, 0.448, 0.471], [0.764, 0.764, 0.207]], "delta_e_f_mev_per_atom": -190, "dft_energy_ev_per_atom": -2.56}

=====

(7)
{"formula": "Sr4AlTl", "functional": "GGA-PBE", "state": "optimized geometry", "lattice_angstrom": [[5.259, -7.732, 0.000], [5.259, 7.732, 0.000], [-3.825, 0.000, 6.196]], "species": ["Sr", "Sr", "Sr", "Sr", "Sr", "Sr", "Sr", "Sr", "Al", "Al", "Tl", "Tl"], "fractional_positions": [[0.054, 0.703, 0.915], [0.240, 0.358, 0.727], [0.297, 0.946, 0.585], [0.358, 0.240, 0.227], [0.642, 0.760, 0.773], [0.703, 0.054, 0.415], [0.760, 0.642, 0.273], [0.946, 0.297, 0.085], [0.004, 0.996, 0.750], [0.996, 0.004, 0.250], [0.362, 0.638, 0.250], [0.638, 0.362, 0.750]], "delta_e_f_mev_per_atom": -173, "de_polymorph_ev_per_fu": 0.00, "dft_energy_ev_per_atom": -2.31}

=====

(8)
{"formula": "Sr2AlTl", "functional": "GGA-PBE", "state": "optimized geometry", "lattice_angstrom": [[5.648, 0.000, 0.000], [0.000, 5.648, 0.000], [0.000, 0.000, 4.082]], "species": ["Sr", "Sr", "Al", "Tl"], "fractional_positions": [[0.000, 0.500, 0.000], [0.500, 0.000, 0.000], [0.000, 0.000, 0.500], [0.500, 0.500, 0.500]], "delta_e_f_mev_per_atom": -249, "dft_energy_ev_per_atom": -2.62}

=====

(9)
{"formula": "Sr2AlTl3", "functional": "GGA-PBE", "state": "optimized geometry", "lattice_angstrom": [[6.015, -2.536, 0.000], [6.015, 2.536, 0.000], [-5.510, 0.000, 6.008]], "species": ["Sr", "Sr", "Al", "Tl", "Tl", "Tl"], "fractional_positions": [[0.000, 0.000, 0.000], [0.092, 0.092, 0.594], [0.379, 0.379, 0.180], [0.384, 0.384, 0.555], [0.691, 0.691, 0.414], [0.720, 0.720, 0.037]], "delta_e_f_mev_per_atom": -288, "dft_energy_ev_per_atom": -2.66}

=====

(10)
{"formula": "Sr6AlTl", "functional": "GGA-PBE", "state": "optimized geometry", "lattice_angstrom": [[-2.908, 2.908, 10.269], [2.908, -2.908, 10.269], [2.908, 2.908, -10.269]], "species": ["Sr", "Sr", "Sr", "Sr", "Sr", "Sr", "Al", "Tl"], "fractional_positions": [[0.094, 0.594, 0.500], [0.249, 0.249, 0.000], [0.406, 0.906, 0.500], [0.594, 0.094, 0.500], [0.751, 0.751, 0.000], [0.906, 0.406, 0.500], [0.000, 0.000, 0.000], [0.500, 0.500, 0.000]], "delta_e_f_mev_per_atom": -131, "dft_energy_ev_per_atom": -2.16}

=====

(11)
{"formula": "Sr2AlTl", "functional": "GGA-PBE", "state": "optimized geometry", "lattice_angstrom": [[3.986, 0.000, 0.000], [0.000, 4.031, 0.000], [0.000, 0.000, 8.113]], "species": ["Sr", "Sr", "Al", "Tl"], "fractional_positions": [[0.000, 0.000, 0.239], [0.000, 0.000, 0.761], [0.500, 0.500, 0.000], [0.500, 0.500, 0.500]], "delta_e_f_mev_per_atom": -255, "dft_energy_ev_per_atom": -2.62}

=====

(12)
{"formula": "Sr2AlTl", "functional": "GGA-PBE", "state": "optimized geometry", "lattice_angstrom": [[1.988, 1.148, 10.395], [-1.988, 1.148, 10.395], [0.000, -2.295, 10.395]], "species": ["Sr", "Sr", "Al", "Tl"], "fractional_positions": [[0.248, 0.248, 0.248], [0.752, 0.752, 0.752], [0.500, 0.500, 0.500], [0.000, 0.000, 0.000]], "delta_e_f_mev_per_atom": -54, "dft_energy_ev_per_atom": -2.42}